Record 1
26
Lattice="13.606 0.890 -0.001 -5.904 3.350 0.000 -0.001 0.000 17.946" Properties=species:S:1:pos:R:3 comment="Nd8Y3Th2 PBE-GGA relaxed" space_group=P2_1/c pbc="T T T"
Nd 4.916 2.687 1.503
Nd 4.599 3.030 7.751
Nd -5.043 3.052 13.722
Nd 6.297 2.081 15.953
Nd 5.942 0.742 4.747
Nd 8.207 2.603 6.979
Nd -1.888 2.242 7.470
Nd 9.905 1.654 16.724
Nd -2.204 2.585 1.222
Nd 9.589 1.998 10.476
Nd 12.745 1.188 4.224
Nd 1.760 3.497 13.199
Nd 1.404 2.158 1.993
Nd -0.506 1.637 10.968
Nd 3.103 1.210 10.195
Nd 2.786 1.553 16.443
Y 3.463 3.307 4.596
Y 6.803 0.445 8.973
Y 11.041 1.377 13.570
Y -3.340 2.862 4.376
Y 0.000 0.000 0.000
Y 4.238 0.932 13.350
Th 8.260 1.890 2.056
Th 6.245 2.795 11.030
Th 1.456 1.444 6.916
Th -0.558 2.350 15.890

Record 2
20
Lattice="-0.682 -1.118 -3.320 9.025 -9.786 1.441 -12.052 -6.784 4.758" Properties=species:S:1:pos:R:3 comment="Nd6Y3Th PBE-GGA relaxed" space_group=P2_1/m relative_energy_mev_per_atom=60 pbc="T T T"
Nd -4.318 -10.429 1.520
Nd 0.609 -7.258 1.359
Nd 5.832 -9.331 -0.934
Nd -9.541 -8.356 3.812
Nd 1.149 -5.013 -1.425
Nd -4.858 -12.674 4.304
Nd 2.479 -10.003 -0.019
Nd -6.188 -7.684 2.898
Nd -5.254 -5.318 -0.008
Nd 1.545 -12.369 2.887
Nd -2.031 -13.299 2.016
Nd -1.678 -4.388 0.862
Y -7.594 -11.103 2.419
Y 3.885 -6.585 0.460
Y -0.923 -10.343 0.794
Y -2.786 -7.345 2.085
Y -1.062 -2.238 -1.906
Y -2.647 -15.449 4.784
Th -8.892 -6.085 0.997
Th 5.183 -11.602 1.882

Record 3
20
Lattice="-5.224 -4.048 -5.871 6.802 -4.819 -2.941 -1.829 -6.393 5.824" Properties=species:S:1:pos:R:3 comment="Nd7Y12Th PBE-GGA relaxed" space_group=R-3 relative_energy_mev_per_atom=0 pbc="T T T"
Nd -1.914 -12.488 -1.202
Nd -1.961 -2.781 -1.434
Nd 0.151 -3.385 1.470
Nd -0.125 -7.630 -1.494
Nd -0.402 -11.876 -4.457
Nd 1.711 -12.479 -1.553
Nd 1.663 -2.772 -1.785
Y -3.957 -9.647 -1.591
Y -2.245 -4.971 -4.177
Y -3.121 -6.423 -1.123
Y -1.766 -8.300 -4.218
Y -1.739 -6.243 2.280
Y -1.538 -9.307 0.906
Y 1.287 -5.953 -3.893
Y 1.488 -9.017 -5.267
Y 1.516 -6.960 1.231
Y 2.870 -8.837 -1.864
Y 1.994 -10.289 1.190
Y 3.707 -5.613 -1.396
Th 0.000 0.000 0.000

Record 4
9
Lattice="-2.356 -2.726 -0.021 3.269 -0.433 -1.453 9.545 -8.432 23.998" Properties=species:S:1:pos:R:3 comment="Nd4Y3Th2 PBE-GGA relaxed" space_group=P3m1 relative_energy_mev_per_atom=0 pbc="T T T"
Nd 5.209 -4.602 13.095
Nd 3.639 -5.601 9.859
Nd 1.578 -3.781 4.680
Nd 7.290 -6.440 18.328
Y 9.371 -8.278 23.559
Y 3.081 -2.722 7.746
Y 5.757 -7.473 15.185
Th 0.368 -2.712 1.638
Th 7.855 -9.326 20.460

Record 5
4
Lattice="5.763 0.000 0.000 2.882 4.991 0.000 2.882 1.664 4.706" Properties=species:S:1:pos:R:3 comment="Nd2YTh PBE-GGA relaxed" space_group=Fm-3m relative_energy_mev_per_atom=177 pbc="T T T"
Y 5.763 3.328 2.353
Nd 2.882 1.664 1.176
Nd 8.645 4.991 3.529
Th 0.000 0.000 0.000

Record 6
7
Lattice="3.432 1.083 0.297 1.175 13.611 2.712 0.577 2.663 5.630" Properties=species:S:1:pos:R:3 comment="Nd2Y3Th2 PBE-GGA relaxed" space_group=C2/m relative_energy_mev_per_atom=0 pbc="T T T"
Nd 0.796 2.948 2.016
Nd 4.388 14.410 6.622
Y 0.000 0.000 0.000
Y 2.727 8.729 2.553
Y 2.457 8.628 6.085
Th 1.640 5.720 4.132
Th 3.544 11.637 4.506

Record 7
9
Lattice="3.643 0.000 0.000 -1.821 3.155 0.000 0.000 0.000 27.212" Properties=species:S:1:pos:R:3 comment="Nd6Y2Th PBE-GGA relaxed" space_group=P-6m2 pbc="T T T"
Nd 1.821 1.052 24.265
Nd 0.000 2.103 11.809
Nd 0.000 2.103 21.200
Nd 0.000 2.103 6.012
Nd 0.000 2.103 15.403
Nd 1.821 1.052 2.947
Y 1.821 1.052 8.962
Y 1.821 1.052 18.250
Th 0.000 2.103 0.000

Record 8
12
Lattice="-4.755 -0.160 3.273 0.633 -3.737 -4.358 6.310 -9.105 8.724" Properties=species:S:1:pos:R:3 comment="Nd7Y4Th PBE-GGA relaxed" space_group=P6/mmm relative_energy_mev_per_atom=0 pbc="T T T"
Nd 0.000 0.000 0.000
Nd -0.606 -4.748 3.984
Nd 2.793 -8.253 3.656
Nd 0.997 -7.061 6.200
Nd 1.190 -5.940 1.440
Nd 4.740 -6.839 6.553
Nd 1.570 -2.265 2.171
Y -2.183 -2.471 1.802
Y 4.371 -10.530 5.837
Y 2.575 -9.337 8.381
Y -0.387 -3.664 -0.741
Th 3.155 -4.552 4.362

Record 9
12
Lattice="4.943 0.021 -1.443 -1.405 9.000 -4.687 0.109 -0.838 9.553" Properties=species:S:1:pos:R:3 comment="Nd6Y5Th PBE-GGA relaxed" space_group=Immm pbc="T T T"
Y 3.086 1.212 1.403
Y 1.249 2.441 4.313
Y -0.702 4.500 -2.343
Y 2.398 5.741 -0.889
Y 0.561 6.970 2.020
Nd 3.379 4.729 2.460
Nd 4.083 0.221 4.807
Nd 1.523 5.947 5.303
Nd 2.124 2.235 -1.880
Nd -0.436 7.961 -1.384
Nd 0.267 3.453 0.963
Th 0.000 0.000 0.000

Record 10
22
Lattice="8.837 0.000 0.000 0.000 8.837 0.000 0.000 0.000 9.627" Properties=species:S:1:pos:R:3 comment="Nd6Y4Th PBE-GGA relaxed" space_group=P4/mnc pbc="T T T"
Nd 3.135 7.522 4.813
Nd 7.553 5.734 0.000
Nd 5.734 1.284 0.000
Nd 1.315 3.135 4.813
Nd 0.000 0.000 1.630
Nd 4.418 4.418 3.183
Nd 3.103 7.553 0.000
Nd 0.000 0.000 7.997
Nd 1.284 3.103 0.000
Nd 4.418 4.418 6.443
Nd 7.522 5.702 4.813
Nd 5.702 1.315 4.813
Y 3.097 1.322 2.407
Y 1.322 5.740 7.220
Y 5.740 7.515 7.220
Y 7.515 3.097 7.220
Y 3.097 1.322 7.220
Y 1.322 5.740 2.407
Y 7.515 3.097 2.407
Y 5.740 7.515 2.407
Th 4.418 4.418 0.000
Th 0.000 0.000 4.813

Record 11
16
Lattice="7.705 -0.600 5.946 -1.284 7.621 5.946 1.922 2.102 13.107" Properties=species:S:1:pos:R:3 comment="Nd5Y2Th PBE-GGA relaxed" space_group=C2/c relative_energy_mev_per_atom=190 pbc="T T T"
Nd 4.728 5.018 15.776
Nd 3.615 4.105 9.222
Nd 3.843 8.818 18.499
Nd -0.969 7.804 7.564
Nd 7.479 3.563 11.946
Nd -0.477 8.341 10.881
Nd 8.820 0.781 14.118
Nd 9.312 1.319 17.434
Nd 0.864 5.560 13.052
Nd 4.500 0.305 6.499
Y 3.852 -0.300 2.973
Y 3.210 3.510 5.946
Y 4.172 4.561 12.499
Y 0.319 4.861 9.526
Th 6.016 1.910 9.222
Th 2.328 7.213 15.776

Record 12
10
Lattice="3.433 -0.001 -0.698 0.079 11.695 0.394 -0.098 2.607 8.317" Properties=species:S:1:pos:R:3 comment="NdY5Th4 PBE-GGA relaxed" space_group=C2/m pbc="T T T"
Nd 1.716 0.000 -0.349
Y 0.707 5.602 3.485
Y 0.702 11.688 3.463
Y 2.711 2.613 4.550
Y 1.756 5.847 -0.152
Y 2.706 8.699 4.528
Th 2.046 2.909 1.278
Th 3.063 5.617 6.305
Th 1.367 11.391 6.735
Th 0.350 8.683 1.708

The uncorrected energy results, record by record, are as follows: -140.66, -109.20, -113.66, -52.58, -22.60, -43.45, -48.42, -65.77, -68.00, -120.18, -84.91, -65.69 eV per cell.
The formation energy from the elements results, record by record, are as follows: 0.1572, 0.0817, 0.2354, 0.0799, 0.2038, 0.0453, 0.0593, 0.0732, 0.0288, 0.1631, 0.2164, 0.1082 eV/atom.